Entry 1:
CsCeS2 after structural relaxation, computed with PBE.

Properties
formation energy (no corrections) = -1.75 eV per atom
E = -5.511 eV per atom

a = 8.4264 Å, b = 8.4264 Å, c = 8.4264 Å
α = 29.37°, β = 29.37°, γ = 29.37°
Sites, in units of the cell vectors:
Cs1 0.0000 0.0000 0.0000
Ce1 0.5000 0.5000 0.5000
S1 0.2283 0.2283 0.2283
S2 0.7717 0.7717 0.7717

Entry 2:
CdHCl2 after structural relaxation, computed with PBE.

Properties
E above lowest polymorph = 0.0000 eV per atom
E = -2.368 eV per atom

a = 7.3484 Å, b = 7.3484 Å, c = 7.3484 Å
α = 31.71°, β = 31.71°, γ = 31.71°
Sites, in units of the cell vectors:
Cd1 0.0000 0.0000 0.0000
H1 0.5000 0.5000 0.5000
Cl1 0.4251 0.4251 0.4251
Cl2 0.5749 0.5749 0.5749

Entry 3:
PmY4Er8 after structural relaxation, computed with PBE.

Properties
formation energy from the elements = 205 meV/atom
E = -4.957 eV per atom

a = 9.8830 Å, b = 9.8830 Å, c = 9.8830 Å
α = 43.29°, β = 43.29°, γ = 43.29°
Sites, in units of the cell vectors:
Pm1 0.0000 0.0000 0.0000
Y1 0.0000 0.0000 0.5000
Y2 0.0000 0.5000 0.0000
Y3 0.5000 0.0000 0.0000
Y4 0.5000 0.5000 0.5000
Er1 0.2501 0.2501 0.6912
Er2 0.2501 0.6912 0.2501
Er3 0.2816 0.2816 0.2816
Er4 0.3088 0.7499 0.7499
Er5 0.6912 0.2501 0.2501
Er6 0.7184 0.7184 0.7184
Er7 0.7499 0.3088 0.7499
Er8 0.7499 0.7499 0.3088

Entry 4:
CuTeRuS2 after structural relaxation, computed with PBE.

Properties
formation energy (no corrections) = 1.00 eV per atom
E = -3.958 eV per atom

a = 4.3787 Å, b = 4.3787 Å, c = 5.4266 Å
α = 90.00°, β = 90.00°, γ = 90.00°
Sites, in units of the cell vectors:
Cu1 0.0000 0.0000 0.0000
Te1 0.0000 0.0000 0.5000
Ru1 0.5000 0.5000 0.5000
S1 0.0000 0.5000 0.0000
S2 0.5000 0.0000 0.0000

Entry 5:
KY2As after structural relaxation, computed with PBE.

Properties
formation energy from the elements = -348 meV/atom
E = -5.017 eV per atom

a = 3.6530 Å, b = 3.6530 Å, c = 10.6810 Å
α = 90.00°, β = 90.00°, γ = 104.14°
Sites, in units of the cell vectors:
K1 0.0000 0.0000 0.0000
Y1 0.5000 0.5000 0.3358
Y2 0.5000 0.5000 0.6642
As1 0.0000 0.0000 0.5000

Entry 6:
CsUF6 after structural relaxation, computed with PBE.

Properties
formation energy (no corrections) = -3.44 eV per atom
E above lowest polymorph = 0.0374 eV per atom
E = -6.366 eV per atom

a = 6.7402 Å, b = 6.7402 Å, c = 6.7402 Å
α = 53.16°, β = 53.16°, γ = 53.16°
Sites, in units of the cell vectors:
Cs1 0.0000 0.0000 0.0000
U1 0.5000 0.5000 0.5000
F1 0.1067 0.5896 0.5896
F2 0.4104 0.4104 0.8933
F3 0.4104 0.8933 0.4104
F4 0.5896 0.1067 0.5896
F5 0.5896 0.5896 0.1067
F6 0.8933 0.4104 0.4104

Entry 7:
Pr4Dy3Tm8 after structural relaxation, computed with PBE.

Properties
formation energy from the elements = 119 meV/atom
E = -4.461 eV per atom

a = 12.4483 Å, b = 12.4483 Å, c = 12.4483 Å
α = 32.33°, β = 32.33°, γ = 32.33°
Sites, in units of the cell vectors:
Pr1 0.0000 0.0000 0.0000
Pr2 0.1634 0.1634 0.1634
Pr3 0.5000 0.5000 0.5000
Pr4 0.8366 0.8366 0.8366
Dy1 0.0000 0.5000 0.5000
Dy2 0.5000 0.0000 0.5000
Dy3 0.5000 0.5000 0.0000
Tm1 0.2496 0.2496 0.7467
Tm2 0.2496 0.7467 0.2496
Tm3 0.2533 0.7504 0.7504
Tm4 0.2556 0.2556 0.2556
Tm5 0.7444 0.7444 0.7444
Tm6 0.7467 0.2496 0.2496
Tm7 0.7504 0.2533 0.7504
Tm8 0.7504 0.7504 0.2533

Entry 8:
Cu2Ag2Hg after structural relaxation, computed with PBE.

Properties
formation energy from the elements = 286 meV/atom
E above lowest polymorph = 0.1344 eV per atom
E = -2.554 eV per atom

a = 6.6694 Å, b = 6.6694 Å, c = 6.6694 Å
α = 146.35°, β = 146.35°, γ = 48.32°
Sites, in units of the cell vectors:
Cu1 0.0965 0.0965 0.0000
Cu2 0.9035 0.9035 0.0000
Ag1 0.2500 0.7500 0.5000
Ag2 0.7500 0.2500 0.5000
Hg1 0.5000 0.5000 0.0000